Density functional theory data (PBE) for an optimized crystal structure of CaY2Mg.

- ΔH_f (0 K): 0.009 eV per atom
- Crystal system: tetragonal
- Calculated volume: 129 Å³/cell

Cell lengths 3.7783, 3.7783, 9.0209 Å; angles 90.00, 90.00, 90.00 degrees
With the nearest neighbours (Å) after each atom.
Space group P4/mmm (No. 123)
Symmetry-distinct sites (fractional):
Ca (0.0000, 0.0000, 0.0000) (multiplicity 1)  4 Ca 3.78, 8 Y 3.79
Y (0.5000, 0.5000, 0.2979) (multiplicity 2)  4 Mg 3.23
Mg (0.0000, 0.0000, 0.5000) (multiplicity 1)  8 Y 3.23